Entry 1:
This record from Alexandria describes an optimized crystal structure of AsC2. The functional is GGA-PBE.

Unit cell a=3.2966 b=3.2966 c=11.5404 alpha=90.00 beta=90.00 gamma=120.00
Last column: nearest neighbours and their distance in Å.
Atoms (fractional coordinates):
As  0.3333  0.6667  0.8691  1 C 1.78
As  0.0000  0.0000  0.5000  6 C 2.24
C  0.0000  0.0000  0.0648  1 C 1.50
C  0.0000  0.0000  0.9352  1 C 1.50
As  0.6667  0.3333  0.1309  1 C 1.78
C  0.6667  0.3333  0.3981  1 C 1.30
C  0.3333  0.6667  0.7144  1 C 1.30
C  0.6667  0.3333  0.2856  1 C 1.30
C  0.3333  0.6667  0.6019  1 C 1.30

## Properties
symmetry	P-3m1, No. 164
energy above the most stable polymorph in this dataset	3.11	eV/f.u.
density	4.54	g/cm3
M_tot	0.00	Bohr magnetons per cell
ΔE_f	1.3872	eV/atom

***

Entry 2:
This record from Alexandria describes an optimized crystal structure of CrTe3Br. The functional is GGA-PBE.

Unit cell a=5.1045 b=5.1045 c=5.1045 alpha=90.00 beta=90.00 gamma=90.00
Last column: nearest neighbours and their distance in Å.
Atoms (fractional coordinates):
Te  0.0000  0.0000  0.5000  2 Cr 2.55
Te  0.0000  0.5000  0.0000  2 Cr 2.55
Te  0.5000  0.0000  0.0000  2 Cr 2.55
Cr  0.0000  0.0000  0.0000  6 Te 2.55
Br  0.5000  0.5000  0.5000  12 Te 3.61

## Properties
energy relative to the elements, uncorrected	309	meV per atom
symmetry	Pm-3m, No. 221
density	6.43	g/cm3
M_tot	0.00	Bohr magnetons per cell